The following is a PBE-GGA calculation of a relaxed GdYBr2O2 crystal, from OQMD.

DFT total energy = -6.965 eV per atom

Cell lengths 3.856, 3.856, 8.403 Å; angles 90.00, 90.00, 90.00 degrees
Positions (direct):
Gd 0.000 0.000 0.000
Y 0.500 0.500 0.274
Br 0.000 0.000 0.470
Br 0.500 0.500 0.805
O 0.000 0.500 0.139
O 0.500 0.000 0.139

---

The following is a PBE-GGA calculation of a relaxed ErZnIn crystal, from OQMD.

DFT total energy = -3.266 eV per atom

Cell lengths 4.676, 4.676, 7.063 Å; angles 90.00, 90.00, 120.00 degrees
Positions (direct):
Er 0.000 0.000 0.000
Er 0.000 0.000 0.500
Zn 0.333 0.667 0.250
Zn 0.667 0.333 0.750
In 0.333 0.667 0.750
In 0.667 0.333 0.250

---

The following is a PBE-GGA calculation of a relaxed Y4Lu2Sb3C3 crystal, from OQMD.

DFT total energy = -6.919 eV per atom

Cell lengths 6.307, 6.307, 15.471 Å; angles 101.74, 101.74, 60.06 degrees
Positions (direct):
Y 0.031 0.195 0.089
Y 0.136 0.304 0.411
Y 0.195 0.031 0.589
Y 0.304 0.136 0.911
Y 0.696 0.864 0.089
Y 0.805 0.969 0.411
Y 0.864 0.696 0.589
Y 0.969 0.805 0.911
Lu 0.360 0.528 0.083
Lu 0.472 0.640 0.417
Lu 0.528 0.360 0.583
Lu 0.640 0.472 0.917
Sb 0.100 0.900 0.250
Sb 0.268 0.419 0.750
Sb 0.419 0.268 0.250
Sb 0.581 0.732 0.750
Sb 0.732 0.581 0.250
Sb 0.900 0.100 0.750
C 0.000 0.500 0.000
C 0.173 0.664 0.500
C 0.336 0.827 0.000
C 0.500 0.000 0.500
C 0.664 0.173 0.000
C 0.827 0.336 0.500

---

The following is a PBE-GGA calculation of a relaxed CdTePdO crystal, from OQMD.

energy above the lowest structure with this stoichiometry = 141 meV/atom

Cell lengths 4.005, 4.005, 10.354 Å; angles 90.00, 90.00, 90.00 degrees
Positions (direct):
Cd 0.250 0.250 0.086
Cd 0.750 0.750 0.914
Te 0.250 0.250 0.367
Te 0.750 0.750 0.633
Pd 0.250 0.250 0.627
Pd 0.750 0.750 0.373
O 0.250 0.750 0.000
O 0.750 0.250 0.000

---

The following is a PBE-GGA calculation of a relaxed Hf7As4 crystal, from OQMD.

DFT total energy = -8.882 eV per atom

Cell lengths 8.302, 8.302, 15.006 Å; angles 103.88, 103.88, 25.03 degrees
Positions (direct):
Hf 0.000 0.000 0.000
Hf 0.001 0.001 0.667
Hf 0.179 0.179 0.543
Hf 0.198 0.198 0.309
Hf 0.206 0.206 0.797
Hf 0.337 0.337 0.032
Hf 0.429 0.429 0.830
Hf 0.500 0.500 0.500
Hf 0.571 0.571 0.170
Hf 0.663 0.663 0.968
Hf 0.794 0.794 0.203
Hf 0.802 0.802 0.691
Hf 0.821 0.821 0.457
Hf 0.999 0.999 0.333
As 0.063 0.063 0.850
As 0.177 0.177 0.109
As 0.372 0.372 0.338
As 0.374 0.374 0.600
As 0.626 0.626 0.400
As 0.628 0.628 0.662
As 0.823 0.823 0.891
As 0.937 0.937 0.150

---

The following is a PBE-GGA calculation of a relaxed Hf4Co2CN crystal, from OQMD.

DFT total energy = -9.612 eV per atom

Cell lengths 3.186, 3.186, 13.085 Å; angles 90.00, 90.00, 120.00 degrees
Positions (direct):
Hf 0.333 0.667 0.102
Hf 0.333 0.667 0.397
Hf 0.667 0.333 0.603
Hf 0.667 0.333 0.898
Co 0.333 0.667 0.747
Co 0.667 0.333 0.253
C 0.000 0.000 0.000
N 0.000 0.000 0.500

---

The following is a PBE-GGA calculation of a relaxed LaSmGe2Au2 crystal, from OQMD.

DFT total energy = -5.101 eV per atom

Cell lengths 4.542, 4.542, 7.774 Å; angles 90.00, 90.00, 120.00 degrees
Positions (direct):
La 0.000 0.000 0.000
Sm 0.000 0.000 0.497
Ge 0.333 0.667 0.705
Ge 0.667 0.333 0.219
Au 0.333 0.667 0.287
Au 0.667 0.333 0.756

---

The following is a PBE-GGA calculation of a relaxed Zr5Sn3S crystal, from OQMD.

DFT total energy = -7.424 eV per atom

Cell lengths 8.578, 8.578, 6.008 Å; angles 90.00, 90.00, 120.00 degrees
Positions (direct):
Zr 0.000 0.251 0.250
Zr 0.000 0.749 0.750
Zr 0.251 0.000 0.250
Zr 0.251 0.251 0.750
Zr 0.333 0.667 0.000
Zr 0.333 0.667 0.500
Zr 0.667 0.333 0.000
Zr 0.667 0.333 0.500
Zr 0.749 0.000 0.750
Zr 0.749 0.749 0.250
Sn 0.000 0.400 0.750
Sn 0.000 0.600 0.250
Sn 0.400 0.000 0.750
Sn 0.400 0.400 0.250
Sn 0.600 0.000 0.250
Sn 0.600 0.600 0.750
S 0.000 0.000 0.000
S 0.000 0.000 0.500

---

The following is a PBE-GGA calculation of a relaxed TbMg crystal, from OQMD.

DFT total energy = -3.053 eV per atom

Cell lengths 6.813, 5.431, 17.530 Å; angles 90.00, 90.15, 90.00 degrees
Positions (direct):
Tb 0.113 0.250 0.467
Tb 0.119 0.750 0.031
Tb 0.361 0.750 0.522
Tb 0.369 0.250 0.978
Tb 0.378 0.250 0.308
Tb 0.381 0.750 0.192
Tb 0.619 0.250 0.808
Tb 0.622 0.750 0.692
Tb 0.631 0.750 0.022
Tb 0.639 0.250 0.478
Tb 0.881 0.250 0.969
Tb 0.887 0.750 0.533
Mg 0.116 0.750 0.357
Mg 0.117 0.250 0.144
Mg 0.125 0.750 0.697
Mg 0.127 0.250 0.802
Mg 0.363 0.250 0.639
Mg 0.365 0.750 0.861
Mg 0.635 0.250 0.139
Mg 0.637 0.750 0.361
Mg 0.873 0.750 0.198
Mg 0.875 0.250 0.303
Mg 0.883 0.750 0.856
Mg 0.884 0.250 0.643

---

The following is a PBE-GGA calculation of a relaxed HoHg2 crystal, from OQMD.

ΔH_f (0 K) = 2.5 eV/f.u.

Cell lengths 9.630, 9.630, 9.630 Å; angles 60.00, 60.00, 60.00 degrees
Positions (direct):
Ho 0.125 0.125 0.125
Ho 0.875 0.875 0.875
Hg 0.000 0.000 0.000
Hg 0.000 0.000 0.500
Hg 0.000 0.500 0.000
Hg 0.500 0.000 0.000

---

The following is a PBE-GGA calculation of a relaxed KTcOs crystal, from OQMD.

energy above the lowest structure with this stoichiometry = 1530 meV/atom

Cell lengths 4.627, 4.627, 4.627 Å; angles 60.00, 60.00, 60.00 degrees
Positions (direct):
K 0.000 0.000 0.000
Tc 0.250 0.250 0.250
Os 0.750 0.750 0.750

---

The following is a PBE-GGA calculation of a relaxed ZrScFeGe crystal, from OQMD.

energy above the lowest structure with this stoichiometry = 0 meV/atom

Cell lengths 4.507, 4.507, 4.507 Å; angles 60.00, 60.00, 60.00 degrees
Positions (direct):
Zr 0.000 0.000 0.000
Sc 0.250 0.250 0.250
Fe 0.750 0.750 0.750
Ge 0.500 0.500 0.500